{
  "formula": "ScPaNbN3",
  "functional": "PBE-GGA",
  "state": "optimized geometry",
  "dft_energy_ev_per_cell": -117.25,
  "lattice_angstrom": [[-3.014, 0.901, -0.617], [-1.963, -6.476, 0.133], [-1.070, 1.779, 7.828]],
  "species": ["N", "N", "N", "N", "N", "N", "Pa", "Pa", "Sc", "Sc", "Nb", "Nb"],
  "fractional_positions": [[0.750, 0.185, 0.410], [0.750, 0.412, 0.139], [0.250, 0.121, 0.872], [0.250, 0.588, 0.861], [0.750, 0.879, 0.128], [0.250, 0.815, 0.590], [0.750, 0.837, 0.816], [0.250, 0.163, 0.184], [0.250, 0.645, 0.126], [0.750, 0.355, 0.874], [0.250, 0.137, 0.583], [0.750, 0.863, 0.417]]
}

---

{
  "formula": "ScPa2NbN5",
  "functional": "PBE-GGA",
  "state": "optimized geometry",
  "dft_energy_ev_per_cell": -179.99,
  "lattice_angstrom": [[3.372, 0.000, 0.000], [-1.686, 6.686, 0.000], [0.000, 0.000, 10.260]],
  "species": ["N", "N", "N", "N", "N", "N", "N", "N", "N", "N", "Nb", "Nb", "Pa", "Pa", "Pa", "Pa", "Sc", "Sc"],
  "fractional_positions": [[0.485, 0.970, 0.774], [0.681, 0.361, 0.864], [0.055, 0.109, 0.069], [0.945, 0.891, 0.569], [0.721, 0.443, 0.163], [0.374, 0.747, 0.006], [0.515, 0.030, 0.274], [0.279, 0.557, 0.663], [0.626, 0.253, 0.506], [0.319, 0.639, 0.364], [0.470, 0.941, 0.466], [0.530, 0.059, 0.966], [0.111, 0.221, 0.686], [0.889, 0.779, 0.186], [0.145, 0.290, 0.292], [0.855, 0.710, 0.792], [0.785, 0.570, 0.504], [0.215, 0.430, 0.004]]
}

---

Number 1: E_form (uncorrected) -1.292 eV/atom. Number 2: E_form (uncorrected) -1.442 eV/atom.